Record 1
HfFeSnPt | PBE | optimized geometry

abc: 4.5964 4.5964 4.5964
angles: 60.00 60.00 60.00
With the nearest neighbours (Å) after each atom.
Fractional coordinates of all 4 atoms:
1 Hf 0.0000 0.0000 0.0000  4 Sn 2.81, 4 Pt 2.81
2 Fe 0.5000 0.5000 0.5000  4 Sn 2.81, 4 Pt 2.81
3 Sn 0.2500 0.2500 0.2500  4 Fe 2.81, 4 Hf 2.81
4 Pt 0.7500 0.7500 0.7500  4 Fe 2.81, 4 Hf 2.81

=====

Record 2
Ba2GaTc | PBE | optimized geometry

abc: 5.3424 5.3424 5.3424
angles: 60.00 60.00 60.00
With the nearest neighbours (Å) after each atom.
Fractional coordinates of all 4 atoms:
1 Ba 0.0000 0.0000 0.0000  4 Ga 3.27, 4 Ba 3.27
2 Ba 0.2500 0.2500 0.2500  4 Ba 3.27, 4 Tc 3.27
3 Ga 0.7500 0.7500 0.7500  4 Ba 3.27, 4 Tc 3.27
4 Tc 0.5000 0.5000 0.5000  4 Ba 3.27, 4 Ga 3.27

=====

Record 3
Pr2NdAg4Pb4 | PBE | optimized geometry

abc: 9.1044 9.1044 9.1044
angles: 149.64 131.31 58.46
With the nearest neighbours (Å) after each atom.
Fractional coordinates of all 11 atoms:
1 Pr 0.1296 0.1296 0.0000  6 Ag 3.37-3.50, 6 Pb 3.43-3.49
2 Pr 0.8704 0.8704 0.0000  6 Ag 3.37-3.50, 6 Pb 3.43-3.49
3 Nd 0.5000 0.0000 0.5000  6 Pb 3.27-3.42
4 Ag 0.1347 0.3296 0.8052  4 Pb 2.82-2.93, 1 Ag 2.92
5 Ag 0.4756 0.6704 0.8052  4 Pb 2.82-2.93, 1 Ag 2.92
6 Ag 0.5244 0.3296 0.1948  4 Pb 2.82-2.93, 1 Ag 2.92
7 Ag 0.8653 0.6704 0.1948  4 Pb 2.82-2.93, 1 Ag 2.92
8 Pb 0.2013 0.5000 0.7013  2 Ag 2.82, 1 Pb 3.02
9 Pb 0.2850 0.7850 0.5000  6 Ag 2.88-2.93
10 Pb 0.7150 0.2150 0.5000  6 Ag 2.88-2.93
11 Pb 0.7987 0.5000 0.2987  2 Ag 2.82, 1 Pb 3.02

=====

Record 4
Ta2Be2Al | PBE | optimized geometry

abc: 6.1175 6.1175 3.5694
angles: 90.00 90.00 90.00
With the nearest neighbours (Å) after each atom.
Fractional coordinates of all 10 atoms:
1 Ta 0.1766 0.3234 0.0000  6 Be 2.52-2.56
2 Ta 0.3234 0.8234 0.0000  6 Be 2.52-2.56
3 Ta 0.6766 0.1766 0.0000  6 Be 2.52-2.56
4 Ta 0.8234 0.6766 0.0000  6 Be 2.52-2.56
5 Be 0.1182 0.6182 0.5000  1 Be 2.04
6 Be 0.3818 0.1182 0.5000  1 Be 2.04
7 Be 0.6182 0.8818 0.5000  1 Be 2.04
8 Be 0.8818 0.3818 0.5000  1 Be 2.04
9 Al 0.0000 0.0000 0.5000  4 Be 2.45
10 Al 0.5000 0.5000 0.5000  4 Be 2.45

=====

Record 5
HfBePt | PBE | optimized geometry

abc: 2.9606 2.9606 10.1887
angles: 90.00 90.00 90.00
With the nearest neighbours (Å) after each atom.
Fractional coordinates of all 6 atoms:
1 Hf 0.0000 0.0000 0.1983  4 Be 2.80, 5 Pt 2.91-3.07, 4 Hf 2.96
2 Hf 0.0000 0.0000 0.8017  4 Be 2.80, 5 Pt 2.91-3.07, 4 Hf 2.96
3 Be 0.5000 0.5000 0.3807  4 Pt 2.42, 1 Be 2.43
4 Be 0.5000 0.5000 0.6193  4 Pt 2.42, 1 Be 2.43
5 Pt 0.0000 0.0000 0.5000  8 Be 2.42
6 Pt 0.5000 0.5000 0.0000  8 Hf 2.91, 4 Pt 2.96

=====

Record 6
Bi2Ir2O7 | PBE | optimized geometry

abc: 7.3277 7.3277 7.3277
angles: 60.00 60.00 60.00
With the nearest neighbours (Å) after each atom.
Fractional coordinates of all 22 atoms:
1 Bi 0.0000 0.0000 0.0000  2 O 2.24
2 Bi 0.0000 0.0000 0.5000  2 O 2.24
3 Bi 0.0000 0.5000 0.0000  2 O 2.24
4 Bi 0.5000 0.0000 0.0000  2 O 2.24
5 Ir 0.0000 0.5000 0.5000  6 O 2.02
6 Ir 0.5000 0.0000 0.5000  6 O 2.02
7 Ir 0.5000 0.5000 0.0000  6 O 2.02
8 Ir 0.5000 0.5000 0.5000  6 O 2.02
9 O 0.1250 0.1250 0.1250  4 Bi 2.24
10 O 0.1683 0.1683 0.5817  2 Ir 2.02
11 O 0.1683 0.5817 0.1683  2 Ir 2.02
12 O 0.1683 0.5817 0.5817  2 Ir 2.02
13 O 0.4183 0.4183 0.8317  2 Ir 2.02
14 O 0.4183 0.8317 0.4183  2 Ir 2.02
15 O 0.4183 0.8317 0.8317  2 Ir 2.02
16 O 0.5817 0.1683 0.1683  2 Ir 2.02
17 O 0.5817 0.1683 0.5817  2 Ir 2.02
18 O 0.5817 0.5817 0.1683  2 Ir 2.02
19 O 0.8317 0.4183 0.4183  2 Ir 2.02
20 O 0.8317 0.4183 0.8317  2 Ir 2.02
21 O 0.8317 0.8317 0.4183  2 Ir 2.02
22 O 0.8750 0.8750 0.8750  4 Bi 2.24

=====

Number 1: E_tot -7.29 eV/atom. Number 2: E_tot -3.67 eV/atom. Number 3: E_tot -4.04 eV/atom. Number 4: E_tot -7.22 eV/atom. Number 5: E_tot -7.13 eV/atom. Number 6: E_tot -6.50 eV/atom.